1.
Computed, not measured: a relaxed Tb12Al5Cd2 crystal at the PBE-GGA level of DFT.

The crystal system is monoclinic. Its formation energy is -0.207 eV per atom.

The structure belongs to space group C2/m (No. 12); the cell edges are 12.450, 10.479 and 8.246 Å and the angles 90.00°, 107.66° and 90.00°. The asymmetric unit holds Tb at (0.101, 0.000, 0.174), Tb at (0.108, 0.272, 0.408), Tb at (0.114, 0.500, 0.741), Tb at (0.174, 0.160, 0.827), Al at (0.000, 0.000, 0.500), Al at (0.109, 0.500, 0.144), Al at (0.232, 0.000, 0.543) and Cd at (0.000, 0.280, 0.000).

2.
Computed, not measured: a relaxed Tb8AlCd2 crystal at the PBE-GGA level of DFT.

The crystal system is monoclinic. Its formation energy is -0.169 eV per atom.

The structure belongs to space group C2/m (No. 12); the cell edges are 16.214, 5.313 and 8.509 Å and the angles 90.00°, 121.02° and 90.00°. The asymmetric unit holds Tb at (0.068, 0.000, 0.220), Tb at (0.090, 0.500, 0.944), Tb at (0.132, 0.000, 0.679), Tb at (0.179, 0.500, 0.449), Al at (0.000, 0.500, 0.500) and Cd at (0.227, 0.000, 0.115).

3.
Computed, not measured: a relaxed Tb2AlCd3 crystal at the PBE-GGA level of DFT.

The crystal system is orthorhombic. Its formation energy is -0.349 eV per atom.

The structure belongs to space group Pmm2 (No. 25); the cell edges are 3.525, 4.854 and 8.400 Å and the angles 90.00°, 90.00° and 90.00°. The asymmetric unit holds Tb at (0.000, 0.000, 0.000), Tb at (0.000, 0.500, 0.484), Al at (0.500, 0.000, 0.325), Cd at (0.500, 0.000, 0.653), Cd at (0.500, 0.500, 0.162) and Cd at (0.500, 0.500, 0.824).